# MnNi2IrO8, optimized geometry, DFT PBE with a Hubbard U
# volume: 125.7 Å³/f.u.
# N(E_F): 5.9 states/eV per cell
# raw total energy: -5.91 eV per atom
data_MnNi2IrO8
_chemical_formula_sum 'Mn1 Ni2 Ir1 O8'
_cell_length_a 4.564
_cell_length_b 6.026
_cell_length_c 4.573
_cell_angle_alpha 90.00
_cell_angle_beta 92.26
_cell_angle_gamma 90.00
_symmetry_space_group_name_H-M 'P 1 2/m 1'
_symmetry_Int_Tables_number 10
loop_
_symmetry_equiv_pos_as_xyz
'x,y,z'
'-x,-y,-z'
'-x,y,-z'
'x,-y,z'
loop_
_atom_site_label
_atom_site_type_symbol
_atom_site_fract_x
_atom_site_fract_y
_atom_site_fract_z
Mn1 Mn 0.000 0.000 0.000
Ni1 Ni 0.500 0.246 0.500
Ir1 Ir 0.000 0.500 0.000
O1 O 0.190 0.250 0.812
O2 O 0.295 0.000 0.297
O3 O 0.295 0.500 0.297